# 1
Density functional theory data (PBE-GGA) for an optimized crystal structure of ScTaTc4.

Cell and atoms, written as extended XYZ:
```
6
Lattice="-0.061 -5.121 0.887 -4.320 -2.279 1.779 -2.746 -3.142 -3.099" Properties=species:S:1:pos:R:3 pbc="T T T"
Sc -5.345 -7.907 -0.325
Ta 0.000 0.000 0.000
Tc -2.702 -6.515 0.281
Tc -4.046 -5.524 -1.714
Tc -4.834 -5.092 0.727
Tc -2.672 -3.952 -0.163
```

For the final energy, the calculation gives -10.110 eV/atom.

# 2
Density functional theory data (PBE-GGA) for an optimized crystal structure of SiTe4.

Cell and atoms, written as extended XYZ:
```
5
Lattice="1.900 -3.291 0.000 1.900 3.291 0.000 0.000 0.000 12.607" Properties=species:S:1:pos:R:3 pbc="T T T"
Si 0.000 0.000 0.000
Te 1.900 -1.097 1.621
Te 1.900 1.097 10.986
Te 1.900 -1.097 5.252
Te 1.900 1.097 7.355
```

For the raw formation energy, the calculation gives 0.187 eV per atom. Its energy above the most stable polymorph in this dataset is 0.022 eV/atom.

# 3
Density functional theory data (PBE-GGA) for an optimized crystal structure of Ba6SrLi2.

Cell and atoms, written as extended XYZ:
```
9
Lattice="-2.821 2.005 -2.732 0.821 -3.775 -7.175 -10.336 -10.121 -0.313" Properties=species:S:1:pos:R:3 pbc="T T T"
Ba -2.761 -1.815 -5.596
Ba -9.574 -10.077 -4.624
Ba -6.394 -8.392 -6.671
Ba -5.595 -4.150 -7.941
Ba -6.740 -7.741 -2.279
Ba -5.941 -3.500 -3.549
Sr 0.000 0.000 0.000
Li -2.908 -1.658 -1.772
Li -9.428 -10.234 -8.448
```

For the final energy, the calculation gives -1.842 eV/atom.

# 4
Density functional theory data (PBE-GGA) for an optimized crystal structure of Y2BiAu2.

Cell and atoms, written as extended XYZ:
```
10
Lattice="8.423 0.000 0.000 0.000 8.423 0.000 0.000 0.000 3.653" Properties=species:S:1:pos:R:3 pbc="T T T"
Y 2.836 7.047 0.000
Y 7.047 5.587 0.000
Y 5.587 1.376 0.000
Y 1.376 2.836 0.000
Au 1.079 5.291 1.827
Au 5.291 7.344 1.827
Au 7.344 3.132 1.827
Au 3.132 1.079 1.827
Bi 0.000 0.000 0.000
Bi 4.212 4.212 0.000
```

Its energy above the most stable polymorph in this dataset is 0.147 eV/atom.

# 5
Density functional theory data (PBE-GGA) for an optimized crystal structure of KNbFeAs2.

Cell and atoms, written as extended XYZ:
```
5
Lattice="4.645 0.000 0.000 0.000 5.011 0.000 0.000 0.000 4.645" Properties=species:S:1:pos:R:3 pbc="T T T"
K 0.000 2.505 0.000
Nb 2.323 2.505 2.323
As 0.000 0.000 2.323
As 2.323 0.000 0.000
Fe 0.000 0.000 0.000
```

For the final energy, the calculation gives -4.769 eV/atom.

# 6
Density functional theory data (PBE-GGA) for an optimized crystal structure of SnAuCl6.

Cell and atoms, written as extended XYZ:
```
8
Lattice="-2.316 -4.346 -3.254 -4.706 -5.022 4.052 -7.521 -0.029 0.505" Properties=species:S:1:pos:R:3 pbc="T T T"
Sn 0.000 0.000 0.000
Au -7.272 -4.699 0.651
Cl -7.870 -2.390 1.432
Cl -7.484 -4.192 -1.699
Cl -3.389 -3.645 -1.268
Cl -7.060 -5.205 3.001
Cl -6.674 -7.008 -0.130
Cl -11.154 -5.752 2.571
```

For the raw formation energy, the calculation gives -0.586 eV per atom.